1.
Material: AuSeI2O
Method: DFT, GGA-PBE
State: relaxed

## Properties
Formation energy (no corrections), eV per formula unit: 1.404
Volume, Å³ per atom: 26.02
Magnetization, μB/cell: 0.000
Energy above the most stable polymorph in this dataset, kJ per mole of atoms: 0.00

a b c (Å): 5.8537 5.8537 3.7964
angles (deg): 90.00 90.00 90.00
Last column: nearest neighbours and their distance in Å.
Sites, in units of the cell vectors:
I 0.0000 0.5000 0.0000  2 Se 2.93
I 0.5000 0.0000 0.0000  2 Se 2.93
O 0.0000 0.0000 0.5000  2 Se 1.90
Se 0.0000 0.0000 0.0000  2 O 1.90
Au 0.5000 0.5000 0.5000  8 I 3.49, 2 Au 3.80

---

2.
Material: SiAuI2O
Method: DFT, GGA-PBE
State: relaxed

## Properties
Formation energy (no corrections), eV per formula unit: -0.911
Volume, Å³ per atom: 22.20
Magnetization, μB/cell: 0.000
Energy above the most stable polymorph in this dataset, kJ per mole of atoms: 0.00

a b c (Å): 5.6205 5.6205 3.5133
angles (deg): 90.00 90.00 90.00
Last column: nearest neighbours and their distance in Å.
Sites, in units of the cell vectors:
Au 0.5000 0.5000 0.5000  8 I 3.31, 2 Au 3.51
Si 0.0000 0.0000 0.0000  2 O 1.76
I 0.0000 0.5000 0.0000  2 Si 2.81
I 0.5000 0.0000 0.0000  2 Si 2.81
O 0.0000 0.0000 0.5000  2 Si 1.76